VASP calculation (GGA-PBE) on a relaxed MgCuRePb crystal.

* final energy: -0.1710 hartree per atom
* ΔE to the lowest computed polymorph: 0 meV per atom
* space-group type: F-43m (216)
* spin magnetization: 0.00 μB per formula unit

The structure in POSCAR format:
```
MgCuRePb
1.0
3.037 0.736 3.410
-1.490 0.563 4.342
0.776 -3.291 3.156
Mg Re Cu Pb
1 1 1 1
Cartesian
1.161 -0.995 5.454
0.581 -0.498 2.727
1.742 -1.493 8.182
0.000 0.000 0.000
```



VASP calculation (GGA-PBE) on a relaxed Er2Ge2O5 crystal.

* final energy: -0.2450 hartree per atom
* ΔE to the lowest computed polymorph: 52 meV per atom
* space-group type: P4/mmm (123)
* spin magnetization: 0.01 μB per formula unit

The structure in POSCAR format:
```
Er2Ge2O5
1.0
-1.385 4.454 -4.575
-1.900 -2.833 -2.183
-3.472 0.868 1.896
Ge O Er
2 5 2
Cartesian
-2.980 -0.037 -1.115
-3.777 2.525 -3.747
-2.013 2.002 -4.603
-2.058 1.469 -0.115
-2.799 3.853 -2.564
-3.378 1.244 -2.431
-1.272 -0.382 -2.155
-0.692 2.227 -2.287
0.000 0.000 0.000
```



VASP calculation (GGA-PBE) on a relaxed YCoNiSn crystal.

* final energy: -0.2249 hartree per atom
* ΔE to the lowest computed polymorph: 0 meV per atom
* space-group type: F-43m (216)
* spin magnetization: 1.03 μB per formula unit

The structure in POSCAR format:
```
YCoNiSn
1.0
0.000 3.236 3.236
3.236 0.000 3.236
3.236 3.236 0.000
Co Y Ni Sn
1 1 1 1
Cartesian
4.854 4.854 4.854
3.236 3.236 3.236
1.618 1.618 1.618
0.000 0.000 0.000
```